1.
This record from Alexandria describes a relaxed structure of K2BeAg. The functional is PBE.

a = 5.599 Å, b = 5.599 Å, c = 4.277 Å
α = 90.00°, β = 90.00°, γ = 90.39°
Fractional coordinates of all 4 atoms:
1 K 0.000 0.500 0.000
2 K 0.500 0.000 0.000
3 Be 0.000 0.000 0.500
4 Ag 0.500 0.500 0.500

For the magnetization, the calculation gives 0.000 μB per atom. As for the density of states at the Fermi level: 1.83 states/eV per cell. Its formation energy is 0.64 eV/atom.


2.
This record from Alexandria describes a relaxed structure of AlRe2Si. The functional is PBE.

a = 4.728 Å, b = 4.728 Å, c = 4.432 Å
α = 106.30°, β = 106.30°, γ = 36.48°
Fractional coordinates of all 4 atoms:
1 Al 0.000 0.000 0.000
2 Re 0.249 0.249 0.823
3 Re 0.502 0.502 0.489
4 Si 0.758 0.758 0.319

For the magnetization, the calculation gives 0.000 μB per atom. As for the density of states at the Fermi level: 2.46 states/eV per cell. Its raw formation energy is -0.16 eV per atom. The calculation puts the energy above the most stable polymorph in this dataset at 109 meV/atom.


3.
This record from Alexandria describes a relaxed structure of YCuC. The functional is PBE.

a = 3.810 Å, b = 3.852 Å, c = 7.202 Å
α = 80.59°, β = 79.41°, γ = 71.58°
Fractional coordinates of all 6 atoms:
1 Y 0.000 0.000 0.000
2 Y 0.119 0.120 0.492
3 Cu 0.568 0.557 0.236
4 Cu 0.682 0.672 0.756
5 C 0.240 0.515 0.710
6 C 0.520 0.207 0.770

For the magnetization, the calculation gives 0.000 μB per atom. As for the density of states at the Fermi level: 3.44 states/eV per cell. Its formation energy is 0.01 eV/atom.


4.
This record from Alexandria describes a relaxed structure of CsMnBiTe3. The functional is PBE.

a = 10.526 Å, b = 4.596 Å, c = 10.939 Å
α = 90.00°, β = 110.20°, γ = 90.00°
Fractional coordinates of all 12 atoms:
1 Cs 0.205 0.250 0.242
2 Cs 0.795 0.750 0.758
3 Mn 0.084 0.250 0.605
4 Mn 0.916 0.750 0.395
5 Bi 0.334 0.750 0.867
6 Bi 0.666 0.250 0.133
7 Te 0.124 0.250 0.863
8 Te 0.195 0.750 0.537
9 Te 0.468 0.750 0.160
10 Te 0.532 0.250 0.840
11 Te 0.805 0.250 0.463
12 Te 0.876 0.750 0.137

For the magnetization, the calculation gives 0.833 μB per atom. Its raw formation energy is -0.48 eV per atom.


5.
This record from Alexandria describes a relaxed structure of MgSc2NiH. The functional is PBE.

a = 4.686 Å, b = 4.686 Å, c = 3.504 Å
α = 90.00°, β = 90.00°, γ = 90.00°
Fractional coordinates of all 5 atoms:
1 Mg 0.000 0.000 0.000
2 Sc 0.000 0.500 0.500
3 Sc 0.500 0.000 0.500
4 Ni 0.500 0.500 0.000
5 H 0.500 0.500 0.500

For the magnetization, the calculation gives 0.000 μB per atom. As for the density of states at the Fermi level: 2.59 states/eV per cell. The calculation puts the total energy at -24.73 eV per cell.


6.
This record from Alexandria describes a relaxed structure of TbBeS. The functional is PBE.

a = 8.410 Å, b = 8.410 Å, c = 8.410 Å
α = 153.43°, β = 153.43°, γ = 37.92°
Fractional coordinates of all 6 atoms:
1 Tb 0.140 0.140 0.000
2 Tb 0.860 0.860 0.000
3 Be 0.441 0.441 0.000
4 Be 0.559 0.559 0.000
5 S 0.318 0.318 0.000
6 S 0.682 0.682 0.000

For the magnetization, the calculation gives 0.000 μB per atom. As for the density of states at the Fermi level: 2.87 states/eV per cell. Its raw formation energy is -0.68 eV per atom.


7.
This record from Alexandria describes a relaxed structure of PaTlIn2Se4. The functional is PBE.

a = 7.816 Å, b = 4.265 Å, c = 7.857 Å
α = 90.00°, β = 107.84°, γ = 90.00°
Fractional coordinates of all 8 atoms:
1 Pa 0.000 0.000 0.000
2 Tl 0.000 0.500 0.500
3 In 0.500 0.000 0.500
4 In 0.500 0.500 0.000
5 Se 0.213 0.500 0.205
6 Se 0.223 0.000 0.794
7 Se 0.777 0.000 0.206
8 Se 0.787 0.500 0.795

For the magnetization, the calculation gives 0.013 μB per atom. As for the density of states at the Fermi level: 1.53 states/eV per cell. Its raw formation energy is -0.76 eV per atom.


8.
This record from Alexandria describes a relaxed structure of La3HgTe2. The functional is PBE.

a = 6.478 Å, b = 13.666 Å, c = 9.198 Å
α = 90.00°, β = 90.10°, γ = 90.00°
Fractional coordinates of all 24 atoms:
1 La 0.248 0.250 0.373
2 La 0.248 0.250 0.873
3 La 0.251 0.581 0.377
4 La 0.251 0.585 0.876
5 La 0.251 0.915 0.376
6 La 0.251 0.919 0.877
7 La 0.749 0.081 0.123
8 La 0.749 0.085 0.624
9 La 0.749 0.415 0.124
10 La 0.749 0.419 0.623
11 La 0.752 0.750 0.127
12 La 0.752 0.750 0.627
13 Hg 0.248 0.086 0.126
14 Hg 0.248 0.414 0.626
15 Hg 0.752 0.586 0.374
16 Hg 0.752 0.914 0.874
17 Te 0.249 0.083 0.623
18 Te 0.249 0.417 0.123
19 Te 0.252 0.748 0.126
20 Te 0.252 0.752 0.626
21 Te 0.748 0.248 0.374
22 Te 0.748 0.252 0.874
23 Te 0.751 0.583 0.877
24 Te 0.751 0.917 0.377

For the magnetization, the calculation gives 0.000 μB per atom. As for the density of states at the Fermi level: 23.07 states/eV per cell. Its raw formation energy is -1.20 eV per atom.


9.
This record from Alexandria describes a relaxed structure of Zr2InSi. The functional is PBE.

a = 5.644 Å, b = 5.644 Å, c = 5.644 Å
α = 137.33°, β = 137.33°, γ = 61.94°
Fractional coordinates of all 4 atoms:
1 Zr 0.000 0.000 0.000
2 Zr 0.750 0.250 0.500
3 In 0.500 0.500 0.000
4 Si 0.250 0.750 0.500

For the magnetization, the calculation gives 0.000 μB per atom. As for the density of states at the Fermi level: 2.18 states/eV per cell. Its raw formation energy is -0.36 eV per atom.


10.
This record from Alexandria describes a relaxed structure of MnN2Cl4. The functional is PBE.

a = 3.875 Å, b = 3.875 Å, c = 14.476 Å
α = 98.66°, β = 98.66°, γ = 50.57°
Fractional coordinates of all 7 atoms:
1 Mn 0.000 0.000 0.000
2 N 0.315 0.315 0.610
3 N 0.685 0.685 0.390
4 Cl 0.090 0.090 0.360
5 Cl 0.300 0.300 0.901
6 Cl 0.700 0.700 0.099
7 Cl 0.910 0.910 0.640

For the magnetization, the calculation gives 0.714 μB per atom. As for the density of states at the Fermi level: 0.86 states/eV per cell. Its raw formation energy is 0.66 eV per atom. The calculation puts the energy above the most stable polymorph in this dataset at 110 meV/atom.


11.
This record from Alexandria describes a relaxed structure of Ag4TeSe4. The functional is PBE.

a = 7.763 Å, b = 7.763 Å, c = 7.763 Å
α = 133.48°, β = 133.48°, γ = 67.90°
Fractional coordinates of all 9 atoms:
1 Ag 0.000 0.500 0.500
2 Ag 0.229 0.229 0.000
3 Ag 0.500 0.000 0.500
4 Ag 0.771 0.771 0.000
5 Te 0.000 0.000 0.000
6 Se 0.139 0.601 0.000
7 Se 0.399 0.399 0.538
8 Se 0.601 0.139 0.000
9 Se 0.861 0.861 0.462

For the magnetization, the calculation gives 0.000 μB per atom. As for the density of states at the Fermi level: 0.28 states/eV per cell. Its raw formation energy is 0.07 eV per atom.


12.
This record from Alexandria describes a relaxed structure of SrCo2Si2. The functional is PBE.

a = 7.355 Å, b = 7.355 Å, c = 2.712 Å
α = 90.00°, β = 90.00°, γ = 90.00°
Fractional coordinates of all 10 atoms:
1 Sr 0.000 0.000 0.000
2 Sr 0.500 0.500 0.000
3 Co 0.133 0.367 0.000
4 Co 0.367 0.867 0.000
5 Co 0.633 0.133 0.000
6 Co 0.867 0.633 0.000
7 Si 0.141 0.641 0.500
8 Si 0.359 0.141 0.500
9 Si 0.641 0.859 0.500
10 Si 0.859 0.359 0.500

For the magnetization, the calculation gives 0.000 μB per atom. As for the density of states at the Fermi level: 8.07 states/eV per cell. Its raw formation energy is -0.09 eV per atom.


13.
This record from Alexandria describes a relaxed structure of TbSc2Cu2Si2. The functional is PBE.

a = 8.869 Å, b = 8.869 Å, c = 8.869 Å
α = 27.15°, β = 27.15°, γ = 27.15°
Fractional coordinates of all 7 atoms:
1 Tb 0.000 0.000 0.000
2 Sc 0.131 0.131 0.131
3 Sc 0.869 0.869 0.869
4 Cu 0.410 0.410 0.410
5 Cu 0.590 0.590 0.590
6 Si 0.255 0.255 0.255
7 Si 0.745 0.745 0.745

For the magnetization, the calculation gives 0.000 μB per atom. As for the density of states at the Fermi level: 4.22 states/eV per cell. Its raw formation energy is -0.53 eV per atom.


14.
This record from Alexandria describes a relaxed structure of SrSnF3. The functional is PBE.

a = 4.736 Å, b = 4.736 Å, c = 4.736 Å
α = 90.00°, β = 90.00°, γ = 90.00°
Fractional coordinates of all 5 atoms:
1 Sr 0.000 0.000 0.000
2 Sn 0.500 0.500 0.500
3 F 0.000 0.000 0.500
4 F 0.000 0.500 0.000
5 F 0.500 0.000 0.000

For the magnetization, the calculation gives 0.137 μB per atom. As for the density of states at the Fermi level: 2.02 states/eV per cell. Its raw formation energy is -2.49 eV per atom. The calculation puts the energy above the most stable polymorph in this dataset at 0 meV/atom.


15.
This record from Alexandria describes a relaxed structure of Sr2MnPtN. The functional is PBE.

a = 5.369 Å, b = 5.369 Å, c = 3.726 Å
α = 90.00°, β = 90.00°, γ = 90.00°
Fractional coordinates of all 5 atoms:
1 Sr 0.000 0.500 0.000
2 Sr 0.500 0.000 0.000
3 Mn 0.000 0.000 0.500
4 Pt 0.500 0.500 0.500
5 N 0.000 0.000 0.000

For the magnetization, the calculation gives 0.605 μB per atom. As for the density of states at the Fermi level: 2.27 states/eV per cell. Its raw formation energy is -0.52 eV per atom.


16.
This record from Alexandria describes a relaxed structure of RbPu3F8. The functional is PBE.

a = 8.324 Å, b = 8.324 Å, c = 8.324 Å
α = 54.49°, β = 54.49°, γ = 54.49°
Fractional coordinates of all 12 atoms:
1 Rb 0.000 0.000 0.000
2 Pu 0.000 0.000 0.500
3 Pu 0.000 0.500 0.000
4 Pu 0.500 0.000 0.000
5 F 0.163 0.757 0.757
6 F 0.220 0.220 0.220
7 F 0.243 0.243 0.837
8 F 0.243 0.837 0.243
9 F 0.757 0.163 0.757
10 F 0.757 0.757 0.163
11 F 0.780 0.780 0.780
12 F 0.837 0.243 0.243

For the magnetization, the calculation gives 1.410 μB per atom. As for the density of states at the Fermi level: 19.01 states/eV per cell. Its raw formation energy is -3.12 eV per atom.


17.
This record from Alexandria describes a relaxed structure of PrGdGa2. The functional is PBE.

a = 3.664 Å, b = 3.664 Å, c = 7.347 Å
α = 90.00°, β = 90.00°, γ = 90.00°
Fractional coordinates of all 4 atoms:
1 Pr 0.000 0.000 0.000
2 Gd 0.000 0.000 0.500
3 Ga 0.500 0.500 0.262
4 Ga 0.500 0.500 0.738

For the magnetization, the calculation gives 1.781 μB per atom. As for the density of states at the Fermi level: 1.88 states/eV per cell. The calculation puts the energy above the most stable polymorph in this dataset at 0 meV/atom. Its formation energy is -0.57 eV/atom.


18.
This record from Alexandria describes a relaxed structure of Ti2ZnNiPt5. The functional is PBE.

a = 7.477 Å, b = 7.477 Å, c = 7.477 Å
α = 120.62°, β = 120.62°, γ = 88.93°
Fractional coordinates of all 18 atoms:
1 Ti 0.115 0.615 0.731
2 Ti 0.385 0.115 0.500
3 Ti 0.615 0.885 0.500
4 Ti 0.885 0.385 0.269
5 Zn 0.250 0.250 0.000
6 Zn 0.750 0.750 0.000
7 Ni 0.250 0.750 0.500
8 Ni 0.750 0.250 0.500
9 Pt 0.000 0.000 0.000
10 Pt 0.066 0.171 0.500
11 Pt 0.171 0.671 0.105
12 Pt 0.329 0.434 0.500
13 Pt 0.434 0.934 0.105
14 Pt 0.500 0.500 0.000
15 Pt 0.566 0.066 0.895
16 Pt 0.671 0.566 0.500
17 Pt 0.829 0.329 0.895
18 Pt 0.934 0.829 0.500

For the magnetization, the calculation gives 0.000 μB per atom. As for the density of states at the Fermi level: 15.16 states/eV per cell. Its formation energy is -0.25 eV/atom.


19.
This record from Alexandria describes a relaxed structure of Mg5Rh6Pb. The functional is PBE.

a = 7.046 Å, b = 7.046 Å, c = 6.323 Å
α = 90.00°, β = 90.00°, γ = 143.07°
Fractional coordinates of all 12 atoms:
1 Mg 0.000 0.000 0.000
2 Mg 0.330 0.670 0.500
3 Mg 0.334 0.666 0.000
4 Mg 0.666 0.334 0.000
5 Mg 0.670 0.330 0.500
6 Rh 0.168 0.832 0.246
7 Rh 0.168 0.832 0.754
8 Rh 0.500 0.500 0.245
9 Rh 0.500 0.500 0.755
10 Rh 0.832 0.168 0.246
11 Rh 0.832 0.168 0.754
12 Pb 0.000 0.000 0.500

For the magnetization, the calculation gives 0.000 μB per atom. As for the density of states at the Fermi level: 5.68 states/eV per cell. Its formation energy is -0.46 eV/atom.


20.
This record from Alexandria describes a relaxed structure of SmHf. The functional is PBE.

a = 3.375 Å, b = 3.375 Å, c = 5.480 Å
α = 90.00°, β = 90.00°, γ = 120.00°
Fractional coordinates of all 2 atoms:
1 Sm 0.000 0.000 0.000
2 Hf 0.333 0.667 0.500

For the magnetization, the calculation gives 0.000 μB per atom. As for the density of states at the Fermi level: 3.36 states/eV per cell. The calculation puts the energy above the most stable polymorph in this dataset at 40 meV/atom. Its formation energy is 0.24 eV/atom.


21.
This record from Alexandria describes a relaxed structure of KSbTe2. The functional is PBE.

a = 3.449 Å, b = 4.441 Å, c = 8.889 Å
α = 90.00°, β = 90.30°, γ = 90.00°
Fractional coordinates of all 4 atoms:
1 K 0.000 0.000 0.000
2 Sb 0.500 0.000 0.500
3 Te 0.497 0.500 0.740
4 Te 0.503 0.500 0.260

For the magnetization, the calculation gives 0.000 μB per atom. As for the density of states at the Fermi level: 0.67 states/eV per cell. Its raw formation energy is -0.39 eV per atom.


22.
This record from Alexandria describes a relaxed structure of CaNi4Cl. The functional is PBE.

a = 5.036 Å, b = 5.036 Å, c = 5.036 Å
α = 60.00°, β = 60.00°, γ = 60.00°
Fractional coordinates of all 6 atoms:
1 Ca 0.000 0.000 0.000
2 Ni 0.374 0.374 0.374
3 Ni 0.374 0.374 0.877
4 Ni 0.374 0.877 0.374
5 Ni 0.877 0.374 0.374
6 Cl 0.750 0.750 0.750

For the magnetization, the calculation gives 0.473 μB per atom. As for the density of states at the Fermi level: 14.57 states/eV per cell. Its raw formation energy is 0.10 eV per atom.


23.
This record from Alexandria describes a relaxed structure of FeMo. The functional is PBE.

a = 6.035 Å, b = 6.035 Å, c = 6.035 Å
α = 94.36°, β = 94.36°, γ = 147.99°
Fractional coordinates of all 8 atoms:
1 Fe 0.000 0.356 0.356
2 Fe 0.000 0.644 0.644
3 Fe 0.356 0.000 0.356
4 Fe 0.644 0.000 0.644
5 Mo 0.337 0.337 0.674
6 Mo 0.337 0.663 0.000
7 Mo 0.663 0.337 0.000
8 Mo 0.663 0.663 0.326

For the magnetization, the calculation gives 0.002 μB per atom. As for the density of states at the Fermi level: 11.09 states/eV per cell. Its formation energy is 0.47 eV/atom.


24.
This record from Alexandria describes a relaxed structure of MgAlTc3. The functional is PBE.

a = 4.497 Å, b = 4.497 Å, c = 4.497 Å
α = 90.00°, β = 90.00°, γ = 90.00°
Fractional coordinates of all 5 atoms:
1 Mg 0.000 0.000 0.000
2 Al 0.500 0.500 0.500
3 Tc 0.000 0.000 0.500
4 Tc 0.000 0.500 0.000
5 Tc 0.500 0.000 0.000

For the magnetization, the calculation gives 0.702 μB per atom. As for the density of states at the Fermi level: 7.21 states/eV per cell. The calculation puts the energy above the most stable polymorph in this dataset at 633 meV/atom. Its formation energy is 1.83 eV/atom.


25.
This record from Alexandria describes a relaxed structure of BaCeN2. The functional is PBE.

a = 6.784 Å, b = 6.784 Å, c = 6.784 Å
α = 31.43°, β = 31.43°, γ = 31.43°
Fractional coordinates of all 4 atoms:
1 Ba 0.000 0.000 0.000
2 Ce 0.169 0.169 0.169
3 N 0.570 0.570 0.570
4 N 0.777 0.777 0.777

For the magnetization, the calculation gives 0.000 μB per atom. Its raw formation energy is -0.98 eV per atom.